Below is a relaxed Ca2Pd2Pb3 crystal, with properties calculated at the GGA-PBE level.

Unit cell a=5.842 b=5.842 c=7.965 alpha=110.20 beta=110.20 gamma=45.60
Sites, in units of the cell vectors:
Ca 0.149 0.149 0.301
Ca 0.851 0.851 0.699
Pd 0.144 0.144 0.714
Pd 0.856 0.856 0.286
Pb 0.371 0.371 0.052
Pb 0.500 0.500 0.500
Pb 0.629 0.629 0.948

E_form	-0.4771	eV per atom
D(E_F)	0.52	states/eV per atom
DFT total energy	-28.9	eV for the cell shown